Sc2AlRu: optimized geometry, PBE-GGA.

Unit cell a=3.167 b=3.167 c=7.544 alpha=90.00 beta=90.00 gamma=90.00
Space group P4mm (No. 99)
Symmetry-distinct sites (fractional):
1 Sc 0.000 0.000 0.000 x1
2 Sc 0.500 0.500 0.350 x1
3 Al 0.000 0.000 0.615 x1
4 Ru 0.500 0.500 0.787 x1

Summary:
The calculation puts the density of states at the Fermi level at 4.4 states/eV per cell. The calculation puts the total moment at 0.3 μB/cell. As for the formation energy: -439 meV per atom.

=====

BaBeAg: optimized geometry, PBE-GGA.

Unit cell a=7.089 b=7.089 c=7.089 alpha=90.00 beta=90.00 gamma=90.00
Space group F-43m (No. 216)
Symmetry-distinct sites (fractional):
1 Ba 0.000 0.000 0.000 x4
2 Be 0.250 0.250 0.250 x4
3 Ag 0.000 0.000 0.500 x4

Summary:
The calculation puts the density of states at the Fermi level at 10.0 states/eV per cell. The calculation puts the total moment at 0.0 μB/cell. The calculation puts the energy above the most stable polymorph in this dataset at 0.418 eV per atom. As for the formation energy: 489 meV per atom.

=====

ThBiF: optimized geometry, PBE-GGA.

Unit cell a=3.481 b=5.841 c=7.877 alpha=103.36 beta=102.73 gamma=90.22
Space group P-1 (No. 2)
Symmetry-distinct sites (fractional):
1 Th 0.121 0.330 0.243 x2
2 Bi 0.421 0.201 0.846 x2
3 F 0.262 0.662 0.522 x2

Summary:
The calculation puts the density of states at the Fermi level at 0.9 states/eV per cell. The calculation puts the total moment at 0.0 μB/cell. The calculation puts the energy above the most stable polymorph in this dataset at 0.188 eV per atom. The formation energy (no corrections) comes out at -1.81 eV/atom.

=====

Ti2Cu2Bi: optimized geometry, PBE-GGA.

Unit cell a=4.135 b=4.135 c=10.743 alpha=90.00 beta=90.00 gamma=90.00
Space group I4/mmm (No. 139)
Symmetry-distinct sites (fractional):
1 Ti 0.000 0.500 0.250 x4
2 Cu 0.000 0.000 0.108 x4
3 Bi 0.000 0.000 0.500 x2

Summary:
The calculation puts the density of states at the Fermi level at 10.6 states/eV per cell. The calculation puts the total moment at 0.0 μB/cell. The calculation puts the energy above the most stable polymorph in this dataset at 0.121 eV per atom. As for the formation energy: 164 meV per atom.

=====

SrPr2Cd6: optimized geometry, PBE-GGA.

Unit cell a=8.8779 b=8.8779 c=3.5805 alpha=90.00 beta=90.00 gamma=120.00
Space group P6/mmm (No. 191)
Symmetry-distinct sites (fractional):
1 Sr 0.0000 0.0000 0.0000 x1
2 Pr 0.3333 0.6667 0.0000 x2
3 Cd 0.0000 0.3355 0.5000 x6

Summary:
The calculation puts the density of states at the Fermi level at 7.0 states/eV per cell. The calculation puts the total moment at 0.0 μB/cell. As for the formation energy: -333 meV per atom.

=====

Ce2Nd2Ge4Ir: optimized geometry, PBE-GGA.

Unit cell a=7.309 b=7.309 c=8.154 alpha=90.00 beta=90.00 gamma=90.00
Space group I4/mmm (No. 139)
Symmetry-distinct sites (fractional):
1 Ce 0.000 0.000 0.171 x4
2 Nd 0.000 0.500 0.250 x4
3 Ge 0.242 0.242 0.500 x8
4 Ir 0.000 0.000 0.500 x2

Summary:
The calculation puts the density of states at the Fermi level at 14.0 states/eV per cell. The calculation puts the total moment at 3.0 μB/cell. As for the formation energy: -520 meV per atom.

=====

LiPPbO4: optimized geometry, PBE-GGA.

Unit cell a=5.838 b=5.490 c=6.878 alpha=90.00 beta=113.65 gamma=90.00
Space group P2_1/m (No. 11)
Symmetry-distinct sites (fractional):
1 Li 0.237 0.250 0.480 x2
2 P 0.271 0.750 0.323 x2
3 Pb 0.294 0.250 0.062 x2
4 O 0.098 0.519 0.250 x4
5 O 0.414 0.750 0.564 x2
6 O 0.460 0.750 0.214 x2

Summary:
The calculation puts the density of states at the Fermi level at 0.0 states/eV per cell. The calculation puts the total moment at 0.0 μB/cell. The formation energy (no corrections) comes out at -2.00 eV/atom.

=====

CrIr2: optimized geometry, PBE-GGA.

Unit cell a=3.795 b=3.795 c=23.091 alpha=90.00 beta=90.00 gamma=90.00
Space group I4_1/amd (No. 141, origin choice 2)
Symmetry-distinct sites (fractional):
1 Cr 0.000 0.250 0.293 x8
2 Ir 0.000 0.250 0.125 x8
3 Ir 0.000 0.250 0.791 x8

Summary:
The calculation puts the density of states at the Fermi level at 21.6 states/eV per cell. The calculation puts the total moment at 11.6 μB/cell. As for the formation energy: -190 meV per atom.